VASP calculation (GGA-PBE) on crystalline CsNi2MoRu at its relaxed geometry.

## Properties
- M_tot (μB per cell) = 4.0
- N(E_F) (states/eV/atom) = 1.649
- VASP energy (eV for the cell shown) = -18.031
- volume (Å³/cell) = 106.25
- crystal system = tetragonal

CIF file:
```
data_CsNi2MoRu
_chemical_formula_sum 'Cs1 Ni2 Mo1 Ru1'
_cell_length_a 4.576
_cell_length_b 4.576
_cell_length_c 5.074
_cell_angle_alpha 90.00
_cell_angle_beta 90.00
_cell_angle_gamma 90.00
_symmetry_space_group_name_H-M 'P 4/m m m'
_symmetry_Int_Tables_number 123
_symmetry_space_group_name_Hall '-P 4 2'
loop_
_atom_site_label
_atom_site_type_symbol
_atom_site_fract_x
_atom_site_fract_y
_atom_site_fract_z
_atom_site_occupancy
Cs1 Cs 0.000 0.000 0.000 1
Ni1 Ni 0.000 0.500 0.000 1
Mo1 Mo 0.000 0.000 0.500 1
Ru1 Ru 0.500 0.500 0.500 1
```

VASP calculation (GGA-PBE) on crystalline CsNiTe2Mo at its relaxed geometry.

## Properties
- M_tot (μB per cell) = 0.0
- N(E_F) (states/eV/atom) = 0.693
- VASP energy (eV for the cell shown) = -22.648
- volume (Å³/cell) = 143.31
- crystal system = tetragonal
- E_form (uncorrected) (eV/atom) = 0.220

CIF file:
```
data_CsNiTe2Mo
_chemical_formula_sum 'Cs1 Ni1 Te2 Mo1'
_cell_length_a 5.412
_cell_length_b 5.412
_cell_length_c 4.892
_cell_angle_alpha 90.00
_cell_angle_beta 90.00
_cell_angle_gamma 90.00
_symmetry_space_group_name_H-M 'P 4/m m m'
_symmetry_Int_Tables_number 123
_symmetry_space_group_name_Hall '-P 4 2'
loop_
_atom_site_label
_atom_site_type_symbol
_atom_site_fract_x
_atom_site_fract_y
_atom_site_fract_z
_atom_site_occupancy
Cs1 Cs 0.000 0.000 0.000 1
Ni1 Ni 0.500 0.500 0.000 1
Te1 Te 0.000 0.500 0.500 1
Mo1 Mo 0.500 0.500 0.500 1
```

VASP calculation (GGA-PBE) on crystalline CsY2NiMo at its relaxed geometry.

## Properties
- M_tot (μB per cell) = 3.4
- N(E_F) (states/eV/atom) = 0.656
- VASP energy (eV for the cell shown) = -20.597
- volume (Å³/cell) = 144.11
- crystal system = tetragonal

CIF file:
```
data_CsY2NiMo
_chemical_formula_sum 'Cs1 Y2 Ni1 Mo1'
_cell_length_a 5.589
_cell_length_b 5.589
_cell_length_c 4.614
_cell_angle_alpha 90.00
_cell_angle_beta 90.00
_cell_angle_gamma 90.00
_symmetry_space_group_name_H-M 'P 4/m m m'
_symmetry_Int_Tables_number 123
_symmetry_space_group_name_Hall '-P 4 2'
loop_
_atom_site_label
_atom_site_type_symbol
_atom_site_fract_x
_atom_site_fract_y
_atom_site_fract_z
_atom_site_occupancy
Cs1 Cs 0.000 0.000 0.000 1
Y1 Y 0.000 0.500 0.000 1
Ni1 Ni 0.000 0.000 0.500 1
Mo1 Mo 0.500 0.500 0.500 1
```